10
Lattice="8.8914 0.0000 0.0000 4.4457 7.7002 0.0000 4.4457 2.5667 7.2598" Properties=species:S:1:pos:R:3 comment="Cs2NaCeI6 (PBE, relaxed)" m_tot_mub_per_cell=1.0 formation_energy_uncorrected_ev_per_fu=-14.26 spacegroup="No. 225" energy_ev_per_atom=-3.2520 pbc="T T T"
I 11.1273 3.8425 5.4555
Na 8.8914 5.1334 3.6299
Cs 13.3371 7.7002 5.4448
I 11.1273 6.4244 1.8042
I 6.6554 3.8425 5.4555
I 6.6554 6.4244 1.8042
I 8.8914 2.5516 1.8042
Ce 0.0000 0.0000 0.0000
Cs 4.4457 2.5667 1.8149
I 8.8914 7.7153 5.4555